Record 1
The following is a DFT calculation (PBE-GGA) of crystalline RbSmI2 at its relaxed geometry.

Its uncorrected formation energy is -0.924 eV per atom. As for the space group: R-3m.

Geometry as POSCAR:
```
RbSmI2
1.0
2.1142 1.2206 11.7561
-2.1142 1.2206 11.7561
0.0000 -2.4413 11.7561
Rb Sm I
1 1 2
Cartesian
0.0000 0.0000 0.0000
0.0000 0.0000 17.6342
0.0000 0.0000 3.8180
0.0000 0.0000 31.4503
```

=====

Record 2
The following is a DFT calculation (PBE-GGA) of crystalline BaAl2AgF at its relaxed geometry.

Its uncorrected formation energy is -0.597 eV per atom. As for the space group: P4/mmm.

Geometry as POSCAR:
```
BaAl2AgF
1.0
4.6861 0.0000 0.0000
0.0000 4.6861 0.0000
0.0000 0.0000 6.9884
Ba Al Ag F
1 2 1 1
Cartesian
0.0000 0.0000 0.0000
0.0000 2.3431 3.4942
2.3431 0.0000 3.4942
0.0000 0.0000 3.4942
2.3431 2.3431 0.0000
```

=====

Record 3
The following is a DFT calculation (PBE-GGA) of crystalline AcPdBr at its relaxed geometry.

Its relative energy among the computed polymorphs is 0.3699 eV per atom. Its uncorrected formation energy is -0.964 eV per atom. As for the space group: I4mm.

Geometry as POSCAR:
```
AcPdBr
1.0
-1.9729 1.9729 5.3552
1.9729 -1.9729 5.3552
1.9729 1.9729 -5.3552
Ac Pd Br
1 1 1
Cartesian
0.0000 0.0000 0.0000
0.0000 0.0000 6.7395
0.0000 0.0000 3.2925
```

=====

Record 4
The following is a DFT calculation (PBE-GGA) of crystalline CaTlSi2 at its relaxed geometry.

Its relative energy among the computed polymorphs is 0.1214 eV per atom. Its uncorrected formation energy is 0.018 eV per atom. As for the space group: P4mm.

Geometry as POSCAR:
```
CaTlSi2
1.0
3.5265 0.0000 0.0000
0.0000 3.5265 0.0000
0.0000 0.0000 7.0961
Ca Tl Si
1 1 2
Cartesian
0.0000 0.0000 0.0000
1.7633 1.7633 4.8005
0.0000 0.0000 2.8848
1.7633 1.7633 1.9856
```

=====

Record 5
The following is a DFT calculation (PBE-GGA) of crystalline Na3ZrSe at its relaxed geometry.

Its relative energy among the computed polymorphs is 0.7486 eV per atom. Its uncorrected formation energy is 1.099 eV per atom. As for the space group: Pm-3m.

Geometry as POSCAR:
```
Na3ZrSe
1.0
6.0122 0.0000 0.0000
0.0000 6.0122 0.0000
0.0000 0.0000 6.0122
Na Zr Se
3 1 1
Cartesian
0.0000 0.0000 3.0061
0.0000 3.0061 0.0000
3.0061 0.0000 0.0000
0.0000 0.0000 0.0000
3.0061 3.0061 3.0061
```

=====

Record 6
The following is a DFT calculation (PBE-GGA) of crystalline CaTiBeN3 at its relaxed geometry.

Its uncorrected formation energy is -1.011 eV per atom. As for the space group: P2_1/m.

Geometry as POSCAR:
```
CaTiBeN3
1.0
6.6347 0.0000 0.0000
0.0000 3.0734 0.0000
-1.7953 0.0000 6.5778
Ca Ti Be N
2 2 2 6
Cartesian
0.8705 0.7683 1.4861
3.9690 2.3050 5.0918
0.7245 2.3050 5.5463
4.1150 0.7683 1.0315
-0.4787 0.7683 3.9279
5.3182 2.3050 2.6499
-0.6745 0.7683 5.6241
0.2168 2.3050 3.4931
2.7199 2.3050 1.0154
2.1196 0.7683 5.5624
4.6227 0.7683 3.0847
5.5140 2.3050 0.9537
```

=====

Record 7
The following is a DFT calculation (PBE-GGA) of crystalline BaIrRh2 at its relaxed geometry.

Its relative energy among the computed polymorphs is 0.4617 eV per atom. As for the space group: P2/m. As for the formation energy: 0.440 eV per atom.

Geometry as POSCAR:
```
BaIrRh2
1.0
3.0045 0.0000 0.0000
0.0000 4.5067 0.0000
-1.1701 0.0000 6.1396
Ba Ir Rh
1 1 2
Cartesian
0.0000 0.0000 0.0000
0.9172 0.0000 3.0698
0.1365 2.2534 4.1229
1.6978 2.2534 2.0167
```

=====

Record 8
The following is a DFT calculation (PBE-GGA) of crystalline Ti13Nb3 at its relaxed geometry.

As for the space group: Amm2. As for the formation energy: 0.041 eV per atom.

Geometry as POSCAR:
```
Ti13Nb3
1.0
6.5676 0.0000 0.0000
0.0000 4.4415 4.7819
0.0000 -4.4415 4.7819
Ti Nb
13 3
Cartesian
0.0000 0.0000 0.0000
0.0000 -2.2242 2.8618
0.0000 0.0000 4.7450
0.0000 2.2242 2.8618
1.6401 -2.1987 5.2621
1.6424 0.0000 7.1654
1.6401 2.1987 5.2621
3.2838 -2.2227 2.8660
3.2838 0.0000 4.7390
3.2838 2.2227 2.8660
4.9274 -2.1987 5.2621
4.9252 0.0000 7.1654
4.9274 2.1987 5.2621
1.6386 0.0000 2.4161
3.2838 0.0000 0.0483
4.9289 0.0000 2.4161
```

=====

Record 9
The following is a DFT calculation (PBE-GGA) of crystalline YAl2HgBi at its relaxed geometry.

As for the space group: P4/mmm. As for the formation energy: 0.681 eV per atom.

Geometry as POSCAR:
```
YAl2HgBi
1.0
5.8294 0.0000 0.0000
0.0000 5.8294 0.0000
0.0000 0.0000 5.8157
Y Al Hg Bi
1 2 1 1
Cartesian
0.0000 0.0000 0.0000
0.0000 2.9147 0.0000
2.9147 0.0000 0.0000
2.9147 2.9147 2.9078
0.0000 0.0000 2.9078
```

=====

Record 10
The following is a DFT calculation (PBE-GGA) of crystalline CaIn2I2Br2 at its relaxed geometry.

Its uncorrected formation energy is -1.082 eV per atom. As for the space group: C2/m.

Geometry as POSCAR:
```
CaIn2I2Br2
1.0
8.0182 -2.2776 0.0000
8.0182 2.2776 0.0000
-4.5481 0.0000 7.6285
Ca In I Br
1 2 2 2
Cartesian
0.0000 0.0000 0.0000
-0.3586 0.0000 4.3227
11.8469 0.0000 3.3058
6.4706 0.0000 1.5877
5.0177 0.0000 6.0408
1.9538 0.0000 2.1269
9.5344 0.0000 5.5016
```

=====

Record 11
The following is a DFT calculation (PBE-GGA) of crystalline La12ErHg6 at its relaxed geometry.

As for the space group: R-3. As for the formation energy: -0.237 eV per atom.

Geometry as POSCAR:
```
La12ErHg6
1.0
5.8541 3.3798 4.9443
-5.8541 3.3798 4.9443
0.0000 -6.7597 4.9443
La Er Hg
12 1 6
Cartesian
-1.6361 -5.0893 6.3476
-5.2255 -1.1278 8.4853
-1.4009 -1.4909 4.4351
-3.5894 3.9615 6.3476
-0.5907 1.9587 4.4351
1.9916 -0.4678 4.4351
-1.9916 0.4678 10.3978
0.5907 -1.9587 10.3978
3.5894 -3.9615 8.4853
1.4009 1.4909 10.3979
5.2255 1.1278 6.3476
1.6361 5.0893 8.4853
0.0000 0.0000 7.4165
-2.9759 0.7479 6.7391
-2.1357 -2.2033 8.0938
0.8402 -2.9512 6.7391
-0.8402 2.9512 8.0938
2.1357 2.2033 6.7391
2.9759 -0.7479 8.0938
```

=====

Record 12
The following is a DFT calculation (PBE-GGA) of crystalline SrSn6Pd12 at its relaxed geometry.

As for the space group: R-3m. As for the formation energy: -0.464 eV per atom.

Geometry as POSCAR:
```
SrSn6Pd12
1.0
6.0380 3.4860 2.9896
-6.0380 3.4860 2.9896
0.0000 -6.9721 2.9896
Sr Sn Pd
1 6 12
Cartesian
0.0000 0.0000 0.0000
0.0000 -2.9878 3.7224
-2.5875 1.4939 3.7224
-2.5875 -1.4939 5.2464
2.5875 1.4939 3.7224
2.5875 -1.4939 5.2464
0.0000 2.9878 5.2464
-2.3152 -4.0100 4.4844
-4.6304 0.0000 4.4844
-1.5375 -0.8877 2.7823
1.5375 -0.8877 2.7823
0.0000 1.7754 2.7823
2.3152 -4.0100 4.4844
-2.3152 4.0100 4.4844
0.0000 -1.7754 6.1864
-1.5375 0.8877 6.1864
1.5375 0.8877 6.1864
4.6304 0.0000 4.4844
2.3152 4.0100 4.4844
```

=====

Record 13
The following is a DFT calculation (PBE-GGA) of crystalline Ac3Zn2GaPd9 at its relaxed geometry.

As for the space group: P-3m1. As for the formation energy: -0.532 eV per atom.

Geometry as POSCAR:
```
Ac3Zn2GaPd9
1.0
7.3671 0.0000 0.0000
-3.6835 6.3801 0.0000
0.0000 0.0000 6.9573
Ac Zn Ga Pd
3 2 1 9
Cartesian
0.0000 0.0000 0.0000
0.0000 4.2534 4.6540
3.6836 2.1267 2.3033
0.0000 4.2534 1.1640
3.6836 2.1267 5.7933
0.0000 0.0000 3.4787
-1.8418 3.1900 0.0000
0.0000 2.1195 2.3272
-1.8480 5.3203 2.3272
1.8356 1.0598 4.6301
3.6835 0.0000 0.0000
1.8418 3.1900 0.0000
1.8480 5.3203 2.3272
5.5315 1.0598 4.6301
3.6836 4.2606 4.6301
```

=====

Record 14
The following is a DFT calculation (PBE-GGA) of crystalline Ni4HgTe8 at its relaxed geometry.

Its uncorrected formation energy is -0.148 eV per atom. As for the space group: R-3m.

Geometry as POSCAR:
```
Ni4HgTe8
1.0
3.8310 2.2118 7.3938
-3.8310 2.2118 7.3938
0.0000 -4.4236 7.3938
Ni Hg Te
4 1 8
Cartesian
0.0000 0.0000 0.0000
-1.9155 -1.1059 7.3938
-1.9155 1.1059 14.7876
0.0000 2.2118 7.3938
0.0000 0.0000 11.0907
0.0000 -2.2032 8.7284
-1.9080 1.1016 8.7284
0.0000 0.0000 6.0507
-1.9080 -1.1016 13.4530
1.9080 1.1016 8.7284
0.0000 0.0000 16.1308
1.9080 -1.1016 13.4530
0.0000 2.2032 13.4530
```

=====

Record 15
The following is a DFT calculation (PBE-GGA) of crystalline PmPr4Sm3 at its relaxed geometry.

Its relative energy among the computed polymorphs is 0.0188 eV per atom. As for the space group: Pmn2_1. As for the formation energy: 0.033 eV per atom.

Geometry as POSCAR:
```
PmPr4Sm3
1.0
11.9204 0.0000 0.0000
0.0000 7.4107 0.0000
0.0000 0.0000 6.4073
Pm Pr Sm
2 8 6
Cartesian
0.0000 0.9113 0.0000
5.9602 6.4994 3.2037
0.0000 2.7643 3.2119
0.0000 4.6453 0.0133
2.9844 2.7653 1.0728
2.9758 4.6454 4.2764
5.9602 2.7654 3.2169
5.9602 4.6464 0.0082
8.9360 2.7653 1.0728
8.9445 4.6454 4.2764
0.0000 6.5009 3.2049
2.9808 0.9120 4.2874
2.9794 6.4987 1.0838
5.9602 0.9099 0.0012
8.9396 0.9120 4.2874
8.9410 6.4987 1.0838
```

=====

Record 16
The following is a DFT calculation (PBE-GGA) of crystalline Nd3NiIr at its relaxed geometry.

Its relative energy among the computed polymorphs is 0.0000 eV per atom. As for the space group: P2_1/m. As for the formation energy: -0.396 eV per atom.

Geometry as POSCAR:
```
Nd3NiIr
1.0
6.6235 0.0000 0.0000
0.0000 4.0161 0.0000
-0.0012 0.0000 9.6347
Nd Ni Ir
6 2 2
Cartesian
1.5102 1.0040 2.4095
1.7593 3.0121 5.3938
1.7583 3.0121 9.0573
4.8640 1.0040 0.5774
4.8630 1.0040 4.2409
5.1121 3.0121 7.2252
0.4855 1.0040 7.2221
6.1368 3.0121 2.4126
3.0569 1.0040 7.2268
3.5654 3.0121 2.4078
```

=====

Record 17
The following is a DFT calculation (PBE-GGA) of crystalline ReGe at its relaxed geometry.

As for the space group: I4/m. As for the formation energy: 0.858 eV per atom.

Geometry as POSCAR:
```
ReGe
1.0
-4.8868 4.8868 2.1025
4.8868 -4.8868 2.1025
4.8868 4.8868 -2.1025
Re Ge
4 4
Cartesian
6.9196 1.9636 0.0000
1.9636 2.8539 0.0000
2.9232 2.0328 2.1025
-2.0328 2.9232 2.1025
2.6181 0.4190 0.0000
4.4677 -2.2686 2.1025
0.4190 7.1554 0.0000
2.2686 4.4677 2.1025
```

=====

Record 18
The following is a DFT calculation (PBE-GGA) of crystalline KUTaO6 at its relaxed geometry.

Its uncorrected formation energy is -2.844 eV per atom. As for the space group: Imma.

Geometry as POSCAR:
```
KUTaO6
1.0
-3.7484 3.9538 5.3984
3.7484 -3.9538 5.3984
3.7484 3.9538 -5.3984
K U Ta O
2 2 2 12
Cartesian
0.0000 1.9769 0.8351
3.7484 1.9769 4.5633
3.7484 0.0000 0.0000
0.0000 0.0000 5.3984
1.8742 1.9769 -2.6992
1.8742 -1.9769 2.6992
2.2684 -0.5512 1.3401
5.2283 -0.5512 1.3401
3.7484 -1.9769 3.3061
2.2684 3.4026 -1.3401
1.4800 -0.5512 4.0583
3.7484 1.9769 0.7714
0.0000 1.9769 4.6270
2.2684 4.5050 1.3401
1.4800 0.5512 6.7385
0.0000 5.9307 2.0923
-1.4800 4.5050 4.0583
1.4800 4.5050 4.0583
```

=====

Record 19
The following is a DFT calculation (PBE-GGA) of crystalline CuBi2Au2 at its relaxed geometry.

Its relative energy among the computed polymorphs is 0.0000 eV per atom. As for the space group: P4/mbm. As for the formation energy: 0.103 eV per atom.

Geometry as POSCAR:
```
CuBi2Au2
1.0
7.0756 0.0000 0.0000
0.0000 7.0756 0.0000
0.0000 0.0000 4.5606
Cu Bi Au
2 4 4
Cartesian
0.0000 0.0000 0.0000
3.5378 3.5378 0.0000
1.2195 2.3183 2.2803
2.3183 5.8561 2.2803
4.7573 1.2195 2.2803
5.8561 4.7573 2.2803
1.0220 4.5598 0.0000
2.5158 1.0220 0.0000
4.5598 6.0536 0.0000
6.0536 2.5158 0.0000
```

=====

Record 20
The following is a DFT calculation (PBE-GGA) of crystalline AcPmAgTe at its relaxed geometry.

Its uncorrected formation energy is -0.613 eV per atom. As for the space group: F-43m.

Geometry as POSCAR:
```
AcPmAgTe
1.0
0.0000 3.9211 3.9211
3.9211 0.0000 3.9211
3.9211 3.9211 0.0000
Ac Pm Ag Te
1 1 1 1
Cartesian
0.0000 0.0000 0.0000
3.9211 3.9211 3.9211
1.9606 1.9606 1.9606
5.8817 5.8817 5.8817
```

=====

Record 21
The following is a DFT calculation (PBE-GGA) of crystalline InBi2Pb at its relaxed geometry.

As for the space group: R-3m. As for the formation energy: 0.089 eV per atom.

Geometry as POSCAR:
```
InBi2Pb
1.0
2.2226 1.2832 7.7091
-2.2226 1.2832 7.7091
0.0000 -2.5664 7.7091
In Bi Pb
1 2 1
Cartesian
0.0000 0.0000 0.0000
0.0000 0.0000 5.9030
0.0000 0.0000 17.2244
0.0000 0.0000 11.5637
```

=====

Record 22
The following is a DFT calculation (PBE-GGA) of crystalline Ca2AgAs4Pd3 at its relaxed geometry.

As for the space group: P-4m2. As for the formation energy: -0.651 eV per atom.

Geometry as POSCAR:
```
Ca2AgAs4Pd3
1.0
4.3371 0.0000 0.0000
0.0000 4.3371 0.0000
0.0000 0.0000 10.6508
Ca Ag As Pd
2 1 4 3
Cartesian
0.0000 2.1685 2.6316
2.1685 0.0000 8.0191
2.1685 2.1685 0.0000
0.0000 0.0000 5.3254
0.0000 2.1685 9.1270
2.1685 0.0000 1.5237
2.1685 2.1685 5.3254
0.0000 0.0000 0.0000
0.0000 2.1685 6.6718
2.1685 0.0000 3.9789
```

=====

Record 23
The following is a DFT calculation (PBE-GGA) of crystalline CeZrPbAu at its relaxed geometry.

As for the space group: F-43m. As for the formation energy: -0.306 eV per atom.

Geometry as POSCAR:
```
CeZrPbAu
1.0
0.0000 3.6902 3.6902
3.6902 0.0000 3.6902
3.6902 3.6902 0.0000
Ce Zr Pb Au
1 1 1 1
Cartesian
0.0000 0.0000 0.0000
3.6902 3.6902 3.6902
5.5353 5.5353 5.5353
1.8451 1.8451 1.8451
```

=====

no.,theoretical density (g cm⁻³)
1,4.47
2,3.44
3,8.23
4,5.66
5,1.83
6,3.44
7,10.69
8,5.36
9,4.64
10,4.07
11,8.59
12,9.13
13,9.34
14,6.43
15,6.80
16,8.86
17,8.56
18,5.75
19,12.73
20,8.37
21,9.31
22,6.69
23,10.50